# 1
Compound: La2MgTiN
Source: Alexandria
Functional: GGA-PBE
Structure: relaxed

abc: 5.394 5.394 4.040
angles: 90.00 90.00 90.00
Space group P4/mmm (No. 123)
Inequivalent atoms, fractional coordinates:
La  0.000  0.500  0.000
Mg  0.000  0.000  0.500
Ti  0.500  0.500  0.500
N  0.500  0.500  0.000

Formation energy from raw total energies in meV per atom: -616
Fermi-level density of states in states/eV per cell: 5.5



# 2
Compound: SmCl2
Source: Alexandria
Functional: GGA-PBE
Structure: relaxed

abc: 3.838 6.643 29.299
angles: 90.00 90.00 90.00
Space group C222_1 (No. 20)
Inequivalent atoms, fractional coordinates:
Sm  0.241  0.001  0.123
Cl  0.241  0.332  0.936
Cl  0.241  0.333  0.817

Formation energy from raw total energies in meV per atom: -2006